(1)
## HoNi3 (GGA-PBE)

Data for a relaxed structure of HoNi3.

energy of formation from the pure elements: -0.164 eV/atom
space-group type: Fm-3m, No. 225

Cell lengths 4.3126, 4.3126, 4.3126 Å; angles 60.00, 60.00, 60.00 degrees
Positions (direct):
Ho: 0.0000 0.0000 0.0000
Ni: 0.2500 0.2500 0.2500
Ni: 0.5000 0.5000 0.5000
Ni: 0.7500 0.7500 0.7500

(2)
## AcYOs (GGA-PBE)

Data for a relaxed structure of AcYOs.

energy of formation from the pure elements: 1.056 eV/atom
space-group type: F-43m, No. 216

Cell lengths 4.9296, 4.9296, 4.9296 Å; angles 60.00, 60.00, 60.00 degrees
Positions (direct):
Ac: 0.0000 0.0000 0.0000
Y: 0.2500 0.2500 0.2500
Os: 0.7500 0.7500 0.7500

(3)
## ZnFeTcAs (GGA-PBE)

Data for a relaxed structure of ZnFeTcAs.

space-group type: F-43m, No. 216

Cell lengths 4.2231, 4.2231, 4.2231 Å; angles 60.00, 60.00, 60.00 degrees
Positions (direct):
Zn: 0.0000 0.0000 0.0000
Fe: 0.7500 0.7500 0.7500
Tc: 0.2500 0.2500 0.2500
As: 0.5000 0.5000 0.5000

For the records above, the corresponding final energy values read -5.48; -6.21; -6.02 eV per atom.
For the records above, the corresponding calculated density values read 9.984; 9.922; 9.172 g/cm³.